No. 1
Here is crystalline Dy2YAl3Si2Pt at its relaxed geometry from OQMD. Energies are from PBE-GGA.

The space group is Amm2 (No. 38) and the conventional cell measures 4.221, 11.980 and 6.918 Å, with angles of 90.00, 90.00 and 90.00 degrees. The distinct sites, in fractional coordinates, are Dy at (0.000, 0.209, 0.000), Y at (0.000, 0.000, 0.626), Al at (0.500, 0.000, 0.972), Al at (0.500, 0.119, 0.327), Si at (0.500, 0.167, 0.709) and Pt at (0.000, 0.000, 0.208).

The value obtained for the energy is -0.4224 Ry per atom.

No. 2
Here is crystalline Dy2AlSnPt4 at its relaxed geometry from OQMD. Energies are from PBE-GGA.

The space group is P-3m1 (No. 164) and the conventional cell measures 4.4418, 4.4418 and 9.2034 Å, with angles of 90.00, 90.00 and 120.00 degrees. The distinct sites, in fractional coordinates, are Dy at (0.3333, 0.6667, 0.2449), Al at (0.0000, 0.0000, 0.0000), Sn at (0.0000, 0.0000, 0.5000), Pt at (0.3333, 0.6667, 0.5958) and Pt at (0.3333, 0.6667, 0.9198).

The value obtained for the energy is -0.4578 Ry per atom.

No. 3
Here is crystalline DyTmAl2Pt4 at its relaxed geometry from OQMD. Energies are from PBE-GGA.

The space group is P-6m2 (No. 187) and the conventional cell measures 4.3307, 4.3307 and 9.1850 Å, with angles of 90.00, 90.00 and 120.00 degrees. The distinct sites, in fractional coordinates, are Dy at (0.0000, 0.0000, 0.0000), Tm at (0.6667, 0.3333, 0.5000), Al at (0.3333, 0.6667, 0.2513), Pt at (0.0000, 0.0000, 0.3376) and Pt at (0.6667, 0.3333, 0.1681).

The value obtained for the energy is -0.4631 Ry per atom.

No. 4
Here is crystalline DyYAl2Pt4 at its relaxed geometry from OQMD. Energies are from PBE-GGA.

The space group is P-6m2 (No. 187) and the conventional cell measures 4.3423, 4.3423 and 9.2557 Å, with angles of 90.00, 90.00 and 120.00 degrees. The distinct sites, in fractional coordinates, are Dy at (0.0000, 0.0000, 0.0000), Y at (0.6667, 0.3333, 0.5000), Al at (0.3333, 0.6667, 0.2500), Pt at (0.0000, 0.0000, 0.3320) and Pt at (0.6667, 0.3333, 0.1677).

The value obtained for the energy is -0.4802 Ry per atom.

No. 5
Here is crystalline RbDyAlSe3 at its relaxed geometry from OQMD. Energies are from PBE-GGA.

The space group is Pnma (No. 62) and the conventional cell measures 11.292, 4.612 and 12.649 Å, with angles of 90.00, 90.00 and 90.00 degrees. The distinct sites, in fractional coordinates, are Rb at (0.170, 0.250, 0.005), Dy at (0.030, 0.250, 0.331), Al at (0.232, 0.250, 0.722), Se at (0.057, 0.750, 0.181), Se at (0.098, 0.250, 0.564) and Se at (0.206, 0.750, 0.798).

The excess energy over the best structure of this formula in the dataset comes out at 37 meV per atom.

No. 6
Here is crystalline RbDyAlSe3 at its relaxed geometry from OQMD. Energies are from PBE-GGA.

The space group is Cmcm (No. 63) and the conventional cell measures 4.305, 15.297 and 10.997 Å, with angles of 90.00, 90.00 and 90.00 degrees. The distinct sites, in fractional coordinates, are Rb at (0.000, 0.241, 0.250), Dy at (0.000, 0.500, 0.000), Al at (0.000, 0.030, 0.750), Se at (0.000, 0.123, 0.570) and Se at (0.000, 0.444, 0.750).

The excess energy over the best structure of this formula in the dataset comes out at 0 meV per atom.

No. 7
Here is crystalline RbDyAlTe3 at its relaxed geometry from OQMD. Energies are from PBE-GGA.

The space group is Cmcm (No. 63) and the conventional cell measures 4.831, 15.863 and 11.655 Å, with angles of 90.00, 90.00 and 90.00 degrees. The distinct sites, in fractional coordinates, are Rb at (0.000, 0.249, 0.250), Dy at (0.000, 0.500, 0.000), Al at (0.000, 0.019, 0.750), Te at (0.000, 0.122, 0.563) and Te at (0.000, 0.437, 0.750).

The excess energy over the best structure of this formula in the dataset comes out at 0 meV per atom.

No. 8
Here is crystalline RbDyAlTe3 at its relaxed geometry from OQMD. Energies are from PBE-GGA.

The space group is Pnma (No. 62) and the conventional cell measures 12.056, 5.040 and 13.410 Å, with angles of 90.00, 90.00 and 90.00 degrees. The distinct sites, in fractional coordinates, are Rb at (0.181, 0.250, 0.009), Dy at (0.025, 0.250, 0.323), Al at (0.233, 0.250, 0.723), Te at (0.051, 0.750, 0.175), Te at (0.089, 0.250, 0.564) and Te at (0.210, 0.750, 0.801).

The excess energy over the best structure of this formula in the dataset comes out at 32 meV per atom.

No. 9
Here is crystalline DyAlRe at its relaxed geometry from OQMD. Energies are from PBE-GGA.

The space group is F-43m (No. 216) and the conventional cell measures 6.337, 6.337 and 6.337 Å, with angles of 90.00, 90.00 and 90.00 degrees. The distinct sites, in fractional coordinates, are Dy at (0.000, 0.000, 0.000), Al at (0.250, 0.250, 0.250) and Re at (0.000, 0.000, 0.500).

The value obtained for the energy is -0.4760 Ry per atom.

No. 10
Here is crystalline Dy3AlS6 at its relaxed geometry from OQMD. Energies are from PBE-GGA.

The space group is Cmc2_1 (No. 36) and the conventional cell measures 10.683, 13.276 and 6.439 Å, with angles of 90.00, 90.00 and 90.00 degrees. The distinct sites, in fractional coordinates, are Dy at (0.000, 0.099, 0.000), Dy at (0.184, 0.400, 0.089), Al at (0.000, 0.300, 0.628), S at (0.000, 0.283, 0.279), S at (0.000, 0.459, 0.768), S at (0.162, 0.029, 0.294) and S at (0.165, 0.234, 0.802).

The value obtained for the energy is -0.4464 Ry per atom.

No. 11
Here is crystalline DyScAl6 at its relaxed geometry from OQMD. Energies are from PBE-GGA.

The space group is P-6m2 (No. 187) and the conventional cell measures 6.1003, 6.1003 and 4.6223 Å, with angles of 90.00, 90.00 and 120.00 degrees. The distinct sites, in fractional coordinates, are Dy at (0.0000, 0.0000, 0.0000), Sc at (0.3333, 0.6667, 0.5000), Al at (0.3685, 0.1842, 0.5000) and Al at (0.5121, 0.0243, 0.0000).

The value obtained for the energy is -0.3363 Ry per atom.

No. 12
Here is crystalline DyScAl at its relaxed geometry from OQMD. Energies are from PBE-GGA.

The space group is F-43m (No. 216) and the conventional cell measures 6.905, 6.905 and 6.905 Å, with angles of 90.00, 90.00 and 90.00 degrees. The distinct sites, in fractional coordinates, are Dy at (0.000, 0.000, 0.000), Sc at (0.250, 0.250, 0.750) and Al at (0.000, 0.000, 0.500).

The value obtained for the energy is -0.3281 Ry per atom.